(1)
First-principles (PBE-GGA) data for crystalline SrCrTe2N at its relaxed geometry, as listed in Alexandria.

The structure in POSCAR format:
```
SrCrTe2N
1.0
-4.194 -4.437 -1.125
4.567 -4.161 -0.612
-0.242 -0.949 4.645
Sr N Te Cr
1 1 2 1
direct
0.000 0.000 0.000
0.000 0.000 0.500
0.000 0.500 0.000
0.500 0.000 0.000
0.500 0.500 0.500
```

Values from the calculation:
total magnetic moment: 1.12 μB/cell
formation energy from raw total energies: 1018 meV/atom
mass density: 3.710 Mg/m³
space group: P4/mmm, No. 123
raw total energy: -4.165 eV per atom



(2)
First-principles (PBE-GGA) data for crystalline SrCrTe2N at its relaxed geometry, as listed in Alexandria.

The structure in POSCAR format:
```
SrCrTe2N
1.0
6.148 0.000 0.000
0.000 6.265 0.000
0.000 0.000 6.148
Sr N Te Cr
1 1 2 1
direct
0.000 0.000 0.000
0.500 0.500 0.500
0.000 0.000 0.500
0.500 0.000 0.000
0.000 0.500 0.000
```

Values from the calculation:
total magnetic moment: 7.84 μB/cell
formation energy from raw total energies: 1620 meV/atom
mass density: 2.866 Mg/m³
space group: P4/mmm, No. 123
raw total energy: -3.563 eV per atom



(3)
First-principles (PBE-GGA) data for crystalline SrCrTeN2 at its relaxed geometry, as listed in Alexandria.

The structure in POSCAR format:
```
SrCrTeN2
1.0
4.128 0.000 0.000
0.000 4.128 0.000
0.000 0.000 5.562
Sr N Te Cr
1 2 1 1
direct
0.500 0.500 0.500
0.000 0.500 0.000
0.500 0.000 0.000
0.000 0.000 0.500
0.000 0.000 0.000
```

Values from the calculation:
total magnetic moment: 0.00 μB/cell
formation energy from raw total energies: 216 meV/atom
mass density: 5.174 Mg/m³
space group: P4/mmm, No. 123
raw total energy: -6.003 eV per atom



(4)
First-principles (PBE-GGA) data for crystalline SrCrTeN2 at its relaxed geometry, as listed in Alexandria.

The structure in POSCAR format:
```
SrCrTeN2
1.0
4.755 0.000 0.000
0.000 4.755 0.000
0.000 0.000 6.839
Sr N Te Cr
1 2 1 1
direct
0.000 0.000 0.000
0.000 0.500 0.000
0.500 0.000 0.000
0.000 0.000 0.500
0.500 0.500 0.500
```

Values from the calculation:
total magnetic moment: 8.85 μB/cell
formation energy from raw total energies: 1541 meV/atom
mass density: 3.170 Mg/m³
space group: P4/mmm, No. 123
raw total energy: -4.678 eV per atom



(5)
First-principles (PBE-GGA) data for crystalline SrThCrN3 at its relaxed geometry, as listed in Alexandria.

The structure in POSCAR format:
```
SrThCrN3
1.0
3.587 0.000 0.000
0.000 7.608 0.919
0.000 -1.900 7.379
Sr Th Cr N
2 2 2 6
direct
0.750 0.836 0.819
0.250 0.164 0.181
0.250 0.634 0.179
0.750 0.366 0.821
0.250 0.082 0.588
0.750 0.918 0.412
0.250 0.851 0.476
0.750 0.868 0.169
0.750 0.419 0.131
0.750 0.149 0.524
0.250 0.581 0.869
0.250 0.132 0.831
```

Values from the calculation:
total magnetic moment: 0.98 μB/cell
formation energy from raw total energies: -1003 meV/atom
mass density: 6.616 Mg/m³
space group: P2_1/m, No. 11
raw total energy: -8.287 eV per atom



(6)
First-principles (PBE-GGA) data for crystalline SrThCrN4 at its relaxed geometry, as listed in Alexandria.

The structure in POSCAR format:
```
SrThCrN4
1.0
-2.436 0.741 5.326
4.512 -2.160 2.364
3.616 6.049 -1.375
Sr Th Cr N
2 2 2 8
direct
0.712 0.750 0.922
0.288 0.250 0.078
0.768 0.750 0.441
0.232 0.250 0.559
0.230 0.750 0.311
0.770 0.250 0.689
0.959 0.495 0.715
0.041 0.995 0.285
0.041 0.505 0.285
0.959 0.005 0.715
0.427 0.750 0.167
0.573 0.250 0.833
0.408 0.750 0.548
0.592 0.250 0.452
```

Values from the calculation:
total magnetic moment: 0.00 μB/cell
formation energy from raw total energies: -1057 meV/atom
mass density: 6.298 Mg/m³
space group: P2_1/m, No. 11
raw total energy: -8.489 eV per atom



(7)
First-principles (PBE-GGA) data for crystalline SrTh2CrN5 at its relaxed geometry, as listed in Alexandria.

The structure in POSCAR format:
```
SrTh2CrN5
1.0
-5.221 1.556 4.208
-4.324 -0.024 -5.357
3.801 -6.214 1.383
Sr Th Cr N
2 4 2 10
direct
0.250 0.250 0.500
0.750 0.750 0.500
0.180 0.320 0.000
0.680 0.180 0.000
0.320 0.820 0.000
0.820 0.680 0.000
0.250 0.750 0.500
0.750 0.250 0.500
0.008 0.508 0.292
0.716 0.216 0.708
0.992 0.492 0.708
0.216 0.992 0.708
0.492 0.716 0.708
0.784 0.008 0.292
0.508 0.284 0.292
0.284 0.784 0.292
0.500 0.500 0.000
0.000 0.000 0.000
```

Values from the calculation:
total magnetic moment: 0.00 μB/cell
formation energy from raw total energies: -1232 meV/atom
mass density: 8.443 Mg/m³
space group: I4/mcm, No. 140
raw total energy: -8.762 eV per atom



(8)
First-principles (PBE-GGA) data for crystalline Sr2TlCrN at its relaxed geometry, as listed in Alexandria.

The structure in POSCAR format:
```
Sr2TlCrN
1.0
-0.784 5.481 -1.045
-2.148 -1.270 -5.052
-3.501 -0.207 1.541
Sr Tl N Cr
2 1 1 1
direct
0.000 0.500 0.000
0.500 0.000 0.000
0.500 0.500 0.500
0.000 0.000 0.000
0.000 0.000 0.500
```

Values from the calculation:
total magnetic moment: 2.82 μB/cell
formation energy from raw total energies: -379 meV/atom
mass density: 6.084 Mg/m³
space group: P4/mmm, No. 123
raw total energy: -5.115 eV per atom



(9)
First-principles (PBE-GGA) data for crystalline SrUCrN4 at its relaxed geometry, as listed in Alexandria.

The structure in POSCAR format:
```
SrUCrN4
1.0
-4.612 -1.136 3.178
3.154 -2.518 3.678
2.539 6.279 2.121
Sr U Cr N
2 2 2 8
direct
0.702 0.750 0.922
0.298 0.250 0.078
0.772 0.750 0.445
0.228 0.250 0.555
0.232 0.750 0.320
0.768 0.250 0.680
0.973 0.497 0.699
0.027 0.997 0.301
0.027 0.503 0.301
0.973 0.003 0.699
0.446 0.750 0.179
0.554 0.250 0.821
0.438 0.750 0.558
0.562 0.250 0.442
```

Values from the calculation:
total magnetic moment: 4.04 μB/cell
formation energy from raw total energies: -907 meV/atom
mass density: 6.813 Mg/m³
space group: P2_1/m, No. 11
raw total energy: -8.892 eV per atom



(10)
First-principles (PBE-GGA) data for crystalline SrU2CrN4 at its relaxed geometry, as listed in Alexandria.

The structure in POSCAR format:
```
SrU2CrN4
1.0
3.424 0.000 0.000
-1.712 5.892 0.000
0.000 0.000 11.462
Sr U Cr N
2 4 2 8
direct
0.094 0.187 0.750
0.906 0.813 0.250
0.368 0.736 0.554
0.632 0.264 0.054
0.632 0.264 0.446
0.368 0.736 0.946
0.829 0.658 0.750
0.171 0.342 0.250
0.260 0.520 0.109
0.740 0.480 0.609
0.740 0.480 0.891
0.260 0.520 0.391
0.000 0.000 0.500
0.000 0.000 0.000
0.422 0.845 0.750
0.578 0.155 0.250
```

Values from the calculation:
total magnetic moment: 0.02 μB/cell
formation energy from raw total energies: -1064 meV/atom
mass density: 9.647 Mg/m³
space group: Cmcm, No. 63
raw total energy: -9.462 eV per atom



(11)
First-principles (PBE-GGA) data for crystalline Sr2UCrN5 at its relaxed geometry, as listed in Alexandria.

The structure in POSCAR format:
```
Sr2UCrN5
1.0
3.534 0.000 0.000
-1.767 7.071 0.000
0.000 0.000 11.082
Sr U Cr N
4 2 2 10
direct
0.856 0.713 0.833
0.106 0.212 0.670
0.144 0.287 0.333
0.894 0.788 0.170
0.803 0.606 0.532
0.197 0.394 0.032
0.537 0.075 0.931
0.463 0.925 0.431
0.341 0.681 0.008
0.672 0.344 0.911
0.497 0.994 0.793
0.292 0.585 0.651
0.962 0.925 0.496
0.659 0.319 0.508
0.328 0.656 0.411
0.503 0.006 0.293
0.708 0.415 0.151
0.038 0.075 0.996
```

Values from the calculation:
total magnetic moment: 0.00 μB/cell
formation energy from raw total energies: -946 meV/atom
mass density: 6.420 Mg/m³
space group: Cmc2_1, No. 36
raw total energy: -8.268 eV per atom



(12)
First-principles (PBE-GGA) data for crystalline Sr2CrWN5 at its relaxed geometry, as listed in Alexandria.

The structure in POSCAR format:
```
Sr2CrWN5
1.0
-2.524 1.857 -0.729
-3.230 -5.606 4.002
1.491 5.557 8.988
Sr Cr W N
4 2 2 10
direct
0.867 0.734 0.818
0.118 0.235 0.682
0.133 0.266 0.318
0.882 0.765 0.182
0.556 0.113 0.938
0.444 0.887 0.438
0.789 0.579 0.527
0.211 0.421 0.027
0.331 0.663 0.003
0.677 0.353 0.892
0.503 0.006 0.801
0.297 0.594 0.644
0.954 0.909 0.519
0.669 0.337 0.503
0.323 0.647 0.392
0.497 0.994 0.301
0.703 0.406 0.144
0.046 0.091 0.019
```

Values from the calculation:
total magnetic moment: 1.64 μB/cell
formation energy from raw total energies: -669 meV/atom
mass density: 6.259 Mg/m³
space group: Cmc2_1, No. 36
raw total energy: -8.176 eV per atom



(13)
First-principles (PBE-GGA) data for crystalline SrZn2CrN at its relaxed geometry, as listed in Alexandria.

The structure in POSCAR format:
```
SrZn2CrN
1.0
-4.228 2.533 1.520
-1.145 0.173 -3.475
-2.475 -4.486 0.592
Sr Zn N Cr
1 2 1 1
direct
0.500 0.500 0.500
0.000 0.000 0.500
0.500 0.000 0.000
0.000 0.000 0.000
0.000 0.500 0.000
```

Values from the calculation:
total magnetic moment: 0.06 μB/cell
formation energy from raw total energies: 464 meV/atom
mass density: 4.847 Mg/m³
space group: P4/mmm, No. 123
raw total energy: -3.972 eV per atom



(14)
First-principles (PBE-GGA) data for crystalline Sr2ZnCrN at its relaxed geometry, as listed in Alexandria.

The structure in POSCAR format:
```
Sr2ZnCrN
1.0
-2.230 -1.592 -4.775
4.712 -2.497 -1.368
-1.218 -3.194 1.634
Sr Zn N Cr
2 1 1 1
direct
0.000 0.500 0.000
0.500 0.000 0.000
0.500 0.500 0.500
0.000 0.000 0.000
0.000 0.000 0.500
```

Values from the calculation:
total magnetic moment: 2.54 μB/cell
formation energy from raw total energies: -311 meV/atom
mass density: 4.435 Mg/m³
space group: P4/mmm, No. 123
raw total energy: -4.828 eV per atom



(15)
First-principles (PBE-GGA) data for crystalline TaCr2N at its relaxed geometry, as listed in Alexandria.

The structure in POSCAR format:
```
TaCr2N
1.0
5.568 0.000 0.000
0.000 5.568 0.000
2.784 2.784 3.639
Cr N Ta
4 2 2
direct
0.504 0.125 0.250
0.246 0.625 0.250
0.375 0.496 0.750
0.875 0.754 0.750
0.500 0.500 0.000
0.250 0.750 0.500
0.000 0.000 0.000
0.750 0.250 0.500
```

Values from the calculation:
total magnetic moment: 4.23 μB/cell
formation energy from raw total energies: 279 meV/atom
mass density: 8.802 Mg/m³
space group: I-42d, No. 122
raw total energy: -9.577 eV per atom



(16)
First-principles (PBE-GGA) data for crystalline Ta3Cr3N at its relaxed geometry, as listed in Alexandria.

The structure in POSCAR format:
```
Ta3Cr3N
1.0
-1.069 -2.339 7.684
5.019 -5.426 3.319
5.265 2.312 5.708
Ta Cr N
12 12 4
direct
0.807 0.807 0.193
0.193 0.193 0.807
0.807 0.193 0.807
0.193 0.807 0.193
0.193 0.807 0.807
0.807 0.193 0.193
0.443 0.443 0.057
0.057 0.057 0.443
0.443 0.057 0.443
0.057 0.443 0.057
0.057 0.443 0.443
0.443 0.057 0.057
0.125 0.625 0.625
0.625 0.125 0.625
0.625 0.625 0.125
0.625 0.625 0.625
0.736 0.421 0.421
0.421 0.736 0.421
0.421 0.421 0.736
0.421 0.421 0.421
0.514 0.829 0.829
0.829 0.514 0.829
0.829 0.829 0.514
0.829 0.829 0.829
0.625 0.125 0.125
0.125 0.625 0.125
0.125 0.125 0.625
0.125 0.125 0.125
```

Values from the calculation:
total magnetic moment: 0.63 μB/cell
formation energy from raw total energies: -469 meV/atom
mass density: 12.587 Mg/m³
space group: Fd-3m, No. 227
raw total energy: -10.862 eV per atom



(17)
First-principles (PBE-GGA) data for crystalline Ta2CrN at its relaxed geometry, as listed in Alexandria.

The structure in POSCAR format:
```
Ta2CrN
1.0
-3.777 -2.511 -4.351
4.807 -3.386 -2.219
-0.161 -5.111 -1.450
Cr N Ta
2 2 4
direct
0.000 0.000 0.000
0.750 0.250 0.500
0.500 0.500 0.000
0.250 0.750 0.500
0.556 0.125 0.250
0.194 0.625 0.250
0.375 0.444 0.750
0.875 0.806 0.750
```

Values from the calculation:
total magnetic moment: 0.00 μB/cell
formation energy from raw total energies: 213 meV/atom
mass density: 12.339 Mg/m³
space group: I-42d, No. 122
raw total energy: -10.201 eV per atom



(18)
First-principles (PBE-GGA) data for crystalline Ta2CrN at its relaxed geometry, as listed in Alexandria.

The structure in POSCAR format:
```
Ta2CrN
1.0
-0.413 -2.464 1.484
2.074 -0.989 1.779
-2.563 2.925 6.989
Cr N Ta
1 1 2
direct
0.000 0.000 0.000
0.500 0.500 0.500
0.106 0.106 0.682
0.894 0.894 0.318
```

Values from the calculation:
total magnetic moment: 1.62 μB/cell
formation energy from raw total energies: 111 meV/atom
mass density: 12.423 Mg/m³
space group: R-3m, No. 166
raw total energy: -10.303 eV per atom



(19)
First-principles (PBE-GGA) data for crystalline Ta3CrN at its relaxed geometry, as listed in Alexandria.

The structure in POSCAR format:
```
Ta3CrN
1.0
-3.443 -0.467 2.382
2.191 -2.378 2.701
1.045 3.446 2.187
Cr N Ta
1 1 3
direct
0.500 0.500 0.500
0.000 0.000 0.000
0.000 0.500 0.000
0.000 0.000 0.500
0.500 0.000 0.000
```

Values from the calculation:
total magnetic moment: 0.00 μB/cell
formation energy from raw total energies: -216 meV/atom
mass density: 13.522 Mg/m³
space group: Pm-3m, No. 221
raw total energy: -10.917 eV per atom



(20)
First-principles (PBE-GGA) data for crystalline Ta4CrN at its relaxed geometry, as listed in Alexandria.

The structure in POSCAR format:
```
Ta4CrN
1.0
6.578 0.000 0.000
0.000 5.393 0.000
0.000 0.000 5.397
Ta Cr N
8 2 2
direct
0.250 0.836 0.083
0.152 0.335 0.833
0.348 0.335 0.333
0.250 0.836 0.583
0.652 0.665 0.333
0.750 0.164 0.583
0.750 0.164 0.083
0.848 0.665 0.833
0.000 0.500 0.333
0.500 0.500 0.833
0.000 0.000 0.833
0.500 0.000 0.333
```

Values from the calculation:
total magnetic moment: 0.00 μB/cell
formation energy from raw total energies: -48 meV/atom
mass density: 13.698 Mg/m³
space group: Pmna, No. 53
raw total energy: -10.941 eV per atom